DFT (PBE-GGA) results for an optimized crystal structure of CeEr2Tm5.

POSCAR file:
```
CeEr2Tm5
1.0
-4.142 3.271 -1.440
-1.313 -4.181 4.671
4.532 10.401 10.583
Ce Er Tm
2 4 10
Cartesian
-0.236 8.259 9.043 Ce
-0.687 1.231 4.771 Ce
-2.292 4.049 5.396 Er
-3.371 1.573 2.877 Er
1.369 5.441 8.418 Er
2.448 7.917 10.937 Er
-0.793 8.952 12.220 Tm
-2.236 5.642 8.853 Tm
-0.542 2.731 7.759 Tm
-2.344 -1.406 3.549 Tm
-1.189 4.046 2.219 Tm
0.267 5.444 11.595 Tm
-0.381 6.759 6.056 Tm
1.421 10.896 10.266 Tm
-0.129 0.538 1.594 Tm
1.313 3.848 4.962 Tm
```

Results
ΔH_f (0 K) in eV per atom: 0.1679
E above lowest polymorph in meV/atom: 145
E in eV/atom: -4.509

=====

DFT (PBE-GGA) results for an optimized crystal structure of TaTe2OsN.

POSCAR file:
```
TaTe2OsN
1.0
-4.021 -3.287 -1.421
2.392 -4.055 2.613
-1.810 0.896 3.049
N Te Os Ta
1 2 1 1
Cartesian
-0.905 0.448 1.524 N
1.196 -2.028 1.306 Te
-2.010 -1.644 -0.710 Te
0.000 0.000 0.000 Os
-1.719 -3.223 2.120 Ta
```

Results
Raw formation energy in meV/atom: 765
E above lowest polymorph in meV/atom: 0
E in eV/atom: -6.773

=====

DFT (PBE-GGA) results for an optimized crystal structure of AlSi2Se.

POSCAR file:
```
AlSi2Se
1.0
-1.504 3.393 -0.031
-1.467 -0.619 3.353
4.370 1.958 2.274
Si Al Se
2 1 1
Cartesian
0.523 0.234 0.272 Si
-0.869 1.663 1.981 Si
2.747 1.231 1.429 Al
1.183 2.582 3.049 Se
```

Results
Raw formation energy in meV/atom: 10
E above lowest polymorph in meV/atom: 47
E in eV/atom: -4.508

=====

DFT (PBE-GGA) results for an optimized crystal structure of CaCr2Mo.

POSCAR file:
```
CaCr2Mo
1.0
2.751 0.004 0.000
-0.942 2.585 0.000
0.000 0.000 9.098
Cr Mo Ca
2 1 1
Cartesian
0.000 0.000 0.309 Cr
0.000 0.000 4.240 Cr
0.905 1.294 2.275 Mo
0.905 1.294 6.824 Ca
```

Results
ΔH_f (0 K) in eV per atom: 0.7262
E above lowest polymorph in meV/atom: 223
E in eV/atom: -7.294

=====

DFT (PBE-GGA) results for an optimized crystal structure of KRbSr2Li.

POSCAR file:
```
KRbSr2Li
1.0
-6.490 -0.144 1.521
-1.506 -0.503 -6.476
0.268 -7.021 0.482
Sr K Rb Li
2 1 1 1
Cartesian
-0.753 -0.251 -3.238 Sr
-3.245 -0.072 0.760 Sr
-3.864 -3.833 -2.237 K
0.134 -3.510 0.241 Rb
0.000 0.000 0.000 Li
```

Results
ΔH_f (0 K) in eV per atom: 0.2062
E above lowest polymorph in meV/atom: 16
E in eV/atom: -1.262

=====

DFT (PBE-GGA) results for an optimized crystal structure of K2NiSe.

POSCAR file:
```
K2NiSe
1.0
-3.679 0.264 -2.348
1.382 -3.276 -2.533
-2.421 -3.637 3.383
K Ni Se
2 1 1
Cartesian
-2.414 -3.627 3.374 K
-1.217 -1.828 1.701 K
-1.754 -2.415 -1.595 Ni
-2.964 -4.234 0.097 Se
```

Results
Raw formation energy in meV/atom: -3
E in eV/atom: -2.869

=====

DFT (PBE-GGA) results for an optimized crystal structure of Zr2Cd2N.

POSCAR file:
```
Zr2Cd2N
1.0
-0.608 -2.862 1.467
1.542 -0.773 2.782
-7.127 3.097 6.737
Zr Cd N
2 2 1
Cartesian
-5.885 1.346 7.487 Zr
-0.309 -1.883 3.499 Zr
-1.844 -2.025 6.236 Cd
-4.349 1.488 4.750 Cd
0.000 0.000 0.000 N
```

Results
Raw formation energy in meV/atom: -731
E in eV/atom: -6.182

=====

DFT (PBE-GGA) results for an optimized crystal structure of TbRhO4.

POSCAR file:
```
TbRhO4
1.0
5.183 0.000 0.000
0.000 5.360 0.089
-2.591 -2.006 5.153
Tb Rh O
2 2 8
Cartesian
1.162 4.020 0.067 Tb
4.021 1.340 0.022 Tb
1.296 1.677 2.621 Rh
-1.296 -1.003 2.576 Rh
0.222 0.156 1.665 O
-0.222 2.836 1.710 O
3.033 4.762 1.065 O
2.150 2.082 1.021 O
-0.442 -1.408 4.176 O
0.442 1.272 4.221 O
2.369 3.198 3.576 O
2.814 0.518 3.532 O
```

Results
Raw formation energy in meV/atom: -1720
E in eV/atom: -7.022

=====

DFT (PBE-GGA) results for an optimized crystal structure of Li2HgAu.

POSCAR file:
```
Li2HgAu
1.0
0.207 -4.540 -0.166
-3.794 -2.468 0.451
-1.705 -2.225 -3.582
Au Hg Li
1 1 2
Cartesian
0.000 0.000 0.000 Au
-2.645 -4.616 -1.649 Hg
-1.323 -2.308 -0.824 Li
-3.968 -6.924 -2.473 Li
```

Results
ΔH_f (0 K) in eV per atom: -0.4534
E above lowest polymorph in meV/atom: 0
E in eV/atom: -2.305

=====

DFT (PBE-GGA) results for an optimized crystal structure of SmB6Pt12.

POSCAR file:
```
SmB6Pt12
1.0
-1.223 -5.826 3.223
5.247 2.761 3.268
-5.283 3.973 1.463
Sm B Pt
1 6 12
Cartesian
0.000 0.000 0.000 Sm
-0.780 -2.150 3.108 B
-2.422 1.812 2.396 B
1.836 1.322 3.126 B
1.163 -0.905 5.557 B
-0.479 3.057 4.845 B
-3.095 -0.415 4.827 B
-3.031 -2.733 3.960 Pt
-1.022 -1.070 5.241 Pt
-2.115 1.569 4.767 Pt
-1.979 -0.335 2.700 Pt
0.856 -0.661 3.186 Pt
-0.237 1.977 2.712 Pt
-2.136 4.090 3.323 Pt
3.279 0.004 4.646 Pt
1.772 3.641 3.993 Pt
0.877 -3.183 4.630 Pt
-4.537 0.903 3.307 Pt
0.721 1.242 5.253 Pt
```

Results
ΔH_f (0 K) in eV per atom: -0.2941
E in eV/atom: -6.466